--- one ---
Computed, not measured: a relaxed structure of La2TcOs2 at the PBE-GGA level of DFT.

abc: 5.8194 5.8194 5.5100
angles: 58.12 58.12 90.00
Last column: nearest neighbours and their distance in Å.
Atoms (fractional coordinates):
Os1 0.6735 0.6735 0.6530  1 Tc 2.39, 1 Os 2.54
Os2 0.3265 0.3265 0.3470  1 Tc 2.39, 1 Os 2.54
La1 0.2500 0.7500 0.5000  4 Os 2.96
La2 0.7500 0.2500 0.5000  4 Os 2.96
Tc1 0.0000 0.0000 0.0000  2 Os 2.39

Crystal system: tetragonal
Magnetic moment (μB per cell): 1.06
V (Å³/f.u.): 124.1

=====

--- two ---
Computed, not measured: a relaxed structure of La2TcOs2 at the PBE-GGA level of DFT.

abc: 6.6755 6.6755 4.9316
angles: 90.00 90.00 90.00
Last column: nearest neighbours and their distance in Å.
Atoms (fractional coordinates):
Tc1 0.5000 0.5000 0.0000  4 Os 2.60
La1 0.6831 0.8169 0.5000  6 Os 3.01-3.27
Os1 0.1347 0.3653 0.0000  1 Os 2.54, 2 Tc 2.60
Os2 0.6347 0.1347 0.0000  1 Os 2.54, 2 Tc 2.60
La2 0.8169 0.3169 0.5000  6 Os 3.01-3.27
Os3 0.3653 0.8653 0.0000  1 Os 2.54, 2 Tc 2.60
Tc2 0.0000 0.0000 0.0000  4 Os 2.60
Os4 0.8653 0.6347 0.0000  1 Os 2.54, 2 Tc 2.60
La3 0.3169 0.1831 0.5000  6 Os 3.01-3.27
La4 0.1831 0.6831 0.5000  6 Os 3.01-3.27

Crystal system: tetragonal
Magnetic moment (μB per cell): 0.00
V (Å³/f.u.): 109.9

=====

It turns out two is the most stable, with the second structure 43.5 kJ/mol of atoms higher.

=====

--- one ---
Computed, not measured: a relaxed structure of LaTeOs3 at the PBE-GGA level of DFT.

abc: 4.9132 4.9132 4.9132
angles: 90.00 90.00 90.00
Last column: nearest neighbours and their distance in Å.
Atoms (fractional coordinates):
Os1 0.0000 0.5000 0.0000  2 La 2.46
La1 0.0000 0.0000 0.0000  6 Os 2.46
Os2 0.0000 0.0000 0.5000  2 La 2.46
Te1 0.5000 0.5000 0.5000  12 Os 3.47
Os3 0.5000 0.0000 0.0000  2 La 2.46

Crystal system: cubic
Magnetic moment (μB per cell): 0.00
V (Å³/f.u.): 118.6

=====

--- two ---
Computed, not measured: a relaxed structure of LaTeOs3 at the PBE-GGA level of DFT.

abc: 4.8686 4.8686 4.8686
angles: 90.00 90.00 90.00
Last column: nearest neighbours and their distance in Å.
Atoms (fractional coordinates):
Os1 0.0000 0.0000 0.5000  2 Te 2.43
Os2 0.5000 0.0000 0.0000  2 Te 2.43
La1 0.5000 0.5000 0.5000  12 Os 3.44
Os3 0.0000 0.5000 0.0000  2 Te 2.43
Te1 0.0000 0.0000 0.0000  6 Os 2.43

Crystal system: cubic
Magnetic moment (μB per cell): 0.00
V (Å³/f.u.): 115.4

=====

It turns out two is the most stable, with the second structure 132.5 kJ/mol of atoms higher.

=====

--- one ---
Computed, not measured: a relaxed structure of LaTi2Os at the PBE-GGA level of DFT.

abc: 4.6923 4.6923 9.6023
angles: 75.86 75.86 90.00
Last column: nearest neighbours and their distance in Å.
Atoms (fractional coordinates):
Ti1 0.8750 0.1249 0.7500  2 Ti 2.35, 2 Os 2.54
La1 0.5000 0.5000 0.0000  4 Os 3.32, 8 Ti 3.46
Ti2 0.8751 0.6250 0.2500  2 Ti 2.35, 2 Os 2.54
Ti3 0.3750 0.1251 0.7500  2 Ti 2.35, 2 Os 2.54
Ti4 0.8749 0.1250 0.2500  2 Ti 2.35, 2 Os 2.54
Os1 0.0000 0.0000 0.0000  4 Ti 2.54
Os2 0.7500 0.2500 0.5000  4 Ti 2.54
La2 0.2500 0.7500 0.5000  4 Os 3.32, 8 Ti 3.46

Crystal system: tetragonal
Magnetic moment (μB per cell): 0.00
V (Å³/f.u.): 99.2

=====

--- two ---
Computed, not measured: a relaxed structure of LaTi2Os at the PBE-GGA level of DFT.

abc: 4.6820 4.6820 4.6820
angles: 60.00 60.00 60.00
Last column: nearest neighbours and their distance in Å.
Atoms (fractional coordinates):
Os1 0.5000 0.5000 0.5000  8 Ti 2.87
Ti1 0.7500 0.7500 0.7500  4 Os 2.87, 4 La 2.87
Ti2 0.2500 0.2500 0.2500  4 La 2.87, 4 Os 2.87
La1 0.0000 0.0000 0.0000  8 Ti 2.87

Crystal system: cubic
Magnetic moment (μB per cell): 0.00
V (Å³/f.u.): 72.6

=====

It turns out two is the most stable, with the second structure 49.2 kJ/mol of atoms higher.

=====

--- one ---
Computed, not measured: a relaxed structure of LaTi2Os2 at the PBE-GGA level of DFT.

abc: 4.4088 4.4088 6.1165
angles: 68.88 68.88 90.00
Last column: nearest neighbours and their distance in Å.
Atoms (fractional coordinates):
Os1 0.2500 0.7500 0.5000  4 Ti 2.51
Ti1 0.6356 0.6356 0.7288  4 Os 2.51
Os2 0.7500 0.2500 0.5000  4 Ti 2.51
La1 0.0000 0.0000 0.0000  10 Ti 3.43-3.83, 8 Os 3.43
Ti2 0.3644 0.3644 0.2712  4 Os 2.51

Crystal system: tetragonal
Magnetic moment (μB per cell): 1.68
V (Å³/f.u.): 102.3

=====

--- two ---
Computed, not measured: a relaxed structure of LaTi2Os2 at the PBE-GGA level of DFT.

abc: 7.7843 7.7843 3.0443
angles: 90.00 90.00 90.00
Last column: nearest neighbours and their distance in Å.
Atoms (fractional coordinates):
La1 0.0000 0.0000 0.0000  4 Os 2.98, 2 La 3.04
Ti1 0.8628 0.3628 0.5000  6 Os 2.68-2.83
Os1 0.8538 0.6462 0.0000  6 Ti 2.68-2.83, 2 La 2.98
La2 0.5000 0.5000 0.0000  4 Os 2.98, 2 La 3.04
Os2 0.3538 0.8538 0.0000  6 Ti 2.68-2.83, 2 La 2.98
Ti2 0.1372 0.6372 0.5000  6 Os 2.68-2.83
Ti3 0.6372 0.8628 0.5000  6 Os 2.68-2.83
Ti4 0.3628 0.1372 0.5000  6 Os 2.68-2.83
Os3 0.6462 0.1462 0.0000  6 Ti 2.68-2.83, 2 La 2.98
Os4 0.1462 0.3538 0.0000  6 Ti 2.68-2.83, 2 La 2.98

Crystal system: tetragonal
Magnetic moment (μB per cell): 0.00
V (Å³/f.u.): 92.2

=====

It turns out two is the most stable, with the second structure 6.8 kJ/mol of atoms higher.

=====

--- one ---
Computed, not measured: a relaxed structure of La6TlOs2 at the PBE-GGA level of DFT.

abc: 8.9256 8.9256 8.9256
angles: 103.64 111.20 113.74
Last column: nearest neighbours and their distance in Å.
Atoms (fractional coordinates):
La1 0.7903 0.7713 0.5616  1 Os 2.78
La2 0.6882 0.0237 0.3355  3 Os 2.86-3.13
La3 0.7903 0.2287 0.0189  1 Os 2.78
La4 0.4759 0.2991 0.1768  3 Os 3.05-3.28
Os1 0.3253 0.0000 0.3253  2 La 2.78
La5 0.6882 0.3527 0.6645  3 Os 2.86-3.13
Tl1 0.0000 0.0000 0.0000  2 Os 3.28, 8 La 3.29-3.42
Os2 0.6747 0.0000 0.6747  2 La 2.78
La6 0.8777 0.7009 0.1768  3 Os 3.05-3.28
La7 0.1223 0.2991 0.8232  3 Os 3.05-3.28
La8 0.3118 0.9763 0.6645  3 Os 2.86-3.13
La9 0.5241 0.7009 0.8232  3 Os 3.05-3.28
La10 0.2097 0.2287 0.4384  1 Os 2.78
La11 0.2097 0.7713 0.9811  1 Os 2.78
Os3 0.5000 0.6366 0.1366  6 La 2.86-3.05, 1 Os 3.02
Os4 0.5000 0.3634 0.8634  6 La 2.86-3.05, 1 Os 3.02
La12 0.3118 0.6473 0.3355  3 Os 2.86-3.13
Tl2 0.0000 0.5000 0.5000  12 La 3.54-3.80

Crystal system: orthorhombic
Magnetic moment (μB per cell): 0.00
V (Å³/f.u.): 271.4

=====

--- two ---
Computed, not measured: a relaxed structure of La6TlOs2 at the PBE-GGA level of DFT.

abc: 5.8377 5.1445 11.8425
angles: 86.31 90.00 124.57
Last column: nearest neighbours and their distance in Å.
Atoms (fractional coordinates):
La1 0.6349 0.2698 0.6164  1 Os 2.68
Os1 0.6612 0.3225 0.8403  4 La 2.68-2.93
La2 0.3651 0.7302 0.3836  1 Os 2.68
Os2 0.3388 0.6775 0.1597  4 La 2.68-2.93
La3 0.0085 0.0170 0.2117  1 Os 2.82
La4 0.6747 0.3495 0.0811  2 Os 2.86-2.93
Tl1 0.0000 0.0000 0.5000  8 La 3.29-3.46
La5 0.9915 0.9830 0.7883  1 Os 2.82
La6 0.3253 0.6505 0.9189  2 Os 2.86-2.93

Crystal system: monoclinic
Magnetic moment (μB per cell): 0.00
V (Å³/f.u.): 292.0

=====

It turns out one is the most stable, with the second structure 8.7 kJ/mol of atoms higher.

=====

--- one ---
Computed, not measured: a relaxed structure of La2TlOs at the PBE-GGA level of DFT.

abc: 5.7239 5.7239 5.7239
angles: 135.33 120.57 77.30
Last column: nearest neighbours and their distance in Å.
Atoms (fractional coordinates):
Os1 0.7500 0.2500 0.5000  4 La 2.84
La1 0.9537 0.9537 0.0000  2 Os 2.84
Tl1 0.2500 0.7500 0.5000  8 La 3.37-3.43, 4 Os 3.57
La2 0.5463 0.5463 0.0000  2 Os 2.84

Crystal system: orthorhombic
Magnetic moment (μB per cell): 0.00
V (Å³/f.u.): 110.3

=====

--- two ---
Computed, not measured: a relaxed structure of La2TlOs at the PBE-GGA level of DFT.

abc: 5.3207 5.3207 5.3207
angles: 60.00 60.00 60.00
Last column: nearest neighbours and their distance in Å.
Atoms (fractional coordinates):
La1 0.7500 0.7500 0.7500  4 Tl 3.26, 4 Os 3.26
Os1 0.0000 0.0000 0.0000  8 La 3.26
Tl1 0.5000 0.5000 0.5000  8 La 3.26
La2 0.2500 0.2500 0.2500  4 Tl 3.26, 4 Os 3.26

Crystal system: cubic
Magnetic moment (μB per cell): 0.00
V (Å³/f.u.): 106.5

=====

It turns out one is the most stable, with the second structure 2.1 kJ/mol of atoms higher.